Computed, not measured: a crystal of AlAg3 relaxed with PBEsol at the meta-GGA SCAN level of DFT.

Summary:
Energy relative to the elements, eV/atom: -0.070
Total moment, μB/atom: 0.000
Volume, Å³/f.u.: 65

a b c (Å): 9.339 2.914 9.801
angles (deg): 90.00 102.64 90.00
Space group C2/m (No. 12)
One atom of each set of equivalent atoms:
Al (0.241, 0.000, 0.127) [4 per cell]
Ag (0.000, 0.500, 0.000) [2 per cell]
Ag (0.000, 0.500, 0.500) [2 per cell]
Ag (0.015, 0.000, 0.756) [4 per cell]
Ag (0.243, 0.500, 0.370) [4 per cell]



Computed, not measured: a crystal of SrRuW2 relaxed with PBEsol at the meta-GGA SCAN level of DFT.

Summary:
Energy relative to the elements, eV/atom: 0.653
Total moment, μB/atom: 0.000
Volume, Å³/f.u.: 77

a b c (Å): 3.156 3.156 7.743
angles (deg): 90.00 90.00 90.00
Space group P4mm (No. 99)
One atom of each set of equivalent atoms:
Sr (0.000, 0.000, 0.000) [1 per cell]
Ru (0.500, 0.500, 0.693) [1 per cell]
W (0.000, 0.000, 0.516) [1 per cell]
W (0.500, 0.500, 0.325) [1 per cell]



Computed, not measured: a crystal of GaFeSb3 relaxed with PBEsol at the meta-GGA SCAN level of DFT.

Summary:
Uncorrected formation energy, eV per atom: 1.1025
Total moment, μB/atom: 0.667
Volume, Å³/f.u.: 137

a b c (Å): 5.155 5.155 5.155
angles (deg): 90.00 90.00 90.00
Space group Pm-3m (No. 221)
One atom of each set of equivalent atoms:
Ga (0.000, 0.000, 0.000) [1 per cell]
Fe (0.500, 0.500, 0.500) [1 per cell]
Sb (0.000, 0.000, 0.500) [3 per cell]



Computed, not measured: a crystal of SiBH3CNCl3 relaxed with PBEsol at the meta-GGA SCAN level of DFT.

Summary:
Total moment, μB/atom: 0.005
Volume, Å³/f.u.: 180
DFT total energy, eV for the cell shown: -1435.13

a b c (Å): 17.1023 17.1023 12.7757
angles (deg): 90.00 90.00 120.00
Space group R3c (No. 161, hexagonal axes)
One atom of each set of equivalent atoms:
Si (0.1275, 0.4400, 0.0000) [18 per cell]
B (0.0869, 0.0037, 0.4700) [18 per cell]
H (0.0065, 0.1451, 0.9691) [18 per cell]
H (0.0545, 0.2319, 0.4983) [18 per cell]
H (0.1651, 0.4332, 0.1790) [18 per cell]
C (0.1596, 0.4853, 0.1335) [18 per cell]
N (0.0036, 0.0840, 0.9702) [18 per cell]
Cl (0.0118, 0.3157, 0.9973) [18 per cell]
Cl (0.0854, 0.2279, 0.2397) [18 per cell]
Cl (0.1969, 0.4235, 0.4317) [18 per cell]